#P
A plane-wave DFT calculation with GGA-PBE was carried out for crystalline PtF at its relaxed geometry.

Cell: 2.7501 3.3494 7.2325 Å, 67.32 90.00 90.00°
Last column: nearest neighbours and their distance in Å.
Positions (direct):
Pt: 0.2500 0.3705 0.8801  1 F 2.03
Pt: 0.7500 0.6295 0.1199  1 F 2.03
F: 0.2500 0.0970 0.6739  1 Pt 2.03
F: 0.7500 0.9030 0.3261  1 Pt 2.03

- Magnetization: 0.0 μB/f.u.
- SG: P2_1/m


#Q
A plane-wave DFT calculation with GGA-PBE was carried out for crystalline PtF at its relaxed geometry.

Cell: 9.2635 9.2635 2.7558 Å, 90.00 90.00 90.00°
Last column: nearest neighbours and their distance in Å.
Positions (direct):
Pt: 0.8217 0.4945 0.0000  2 F 2.05-2.17
Pt: 0.3217 0.0055 0.5000  2 F 2.05-2.17
Pt: 0.6783 0.9945 0.5000  2 F 2.05-2.17
Pt: 0.1783 0.5055 0.0000  2 F 2.05-2.17
Pt: 0.0055 0.6783 0.5000  2 F 2.05-2.17
Pt: 0.5055 0.8217 0.0000  2 F 2.05-2.17
Pt: 0.4945 0.1783 0.0000  2 F 2.05-2.17
Pt: 0.9945 0.3217 0.5000  2 F 2.05-2.17
F: 0.6410 0.3446 0.0000  2 Pt 2.05-2.17
F: 0.1410 0.1554 0.5000  2 Pt 2.05-2.17
F: 0.8590 0.8446 0.5000  2 Pt 2.05-2.17
F: 0.3590 0.6554 0.0000  2 Pt 2.05-2.17
F: 0.1554 0.8590 0.5000  2 Pt 2.05-2.17
F: 0.6554 0.6410 0.0000  2 Pt 2.05-2.17
F: 0.3446 0.3590 0.0000  2 Pt 2.05-2.17
F: 0.8446 0.1410 0.5000  2 Pt 2.05-2.17

- Magnetization: 0.0 μB/f.u.
- SG: P4/mnc


#R
A plane-wave DFT calculation with GGA-PBE was carried out for crystalline PtF at its relaxed geometry.

Cell: 5.1716 13.7047 8.0412 Å, 90.00 90.00 90.00°
Last column: nearest neighbours and their distance in Å.
Positions (direct):
Pt: 0.0000 0.7478 0.0000  2 F 2.01
Pt: 0.0000 0.2522 0.0000  2 F 2.01
Pt: 0.2500 0.0022 0.2500  2 F 2.01
Pt: 0.2500 0.4978 0.2500  2 F 2.01
Pt: 0.0000 0.2478 0.5000  2 F 2.01
Pt: 0.0000 0.7522 0.5000  2 F 2.01
Pt: 0.2500 0.5022 0.7500  2 F 2.01
Pt: 0.2500 0.9978 0.7500  2 F 2.01
Pt: 0.5000 0.7478 0.5000  2 F 2.01
Pt: 0.5000 0.2522 0.5000  2 F 2.01
Pt: 0.7500 0.0022 0.7500  2 F 2.01
Pt: 0.7500 0.4978 0.7500  2 F 2.01
Pt: 0.5000 0.2478 0.0000  2 F 2.01
Pt: 0.5000 0.7522 0.0000  2 F 2.01
Pt: 0.7500 0.5022 0.2500  2 F 2.01
Pt: 0.7500 0.9978 0.2500  2 F 2.01
F: 0.2497 0.0000 0.0000  2 Pt 2.01
F: 0.7503 0.0000 0.0000  2 Pt 2.01
F: 0.0003 0.7500 0.2500  2 Pt 2.01
F: 0.4997 0.7500 0.2500  2 Pt 2.01
F: 0.2497 0.5000 0.5000  2 Pt 2.01
F: 0.7503 0.5000 0.5000  2 Pt 2.01
F: 0.0003 0.2500 0.7500  2 Pt 2.01
F: 0.4997 0.2500 0.7500  2 Pt 2.01
F: 0.7497 0.0000 0.5000  2 Pt 2.01
F: 0.2503 0.0000 0.5000  2 Pt 2.01
F: 0.5003 0.7500 0.7500  2 Pt 2.01
F: 0.9997 0.7500 0.7500  2 Pt 2.01
F: 0.7497 0.5000 0.0000  2 Pt 2.01
F: 0.2503 0.5000 0.0000  2 Pt 2.01
F: 0.5003 0.2500 0.2500  2 Pt 2.01
F: 0.9997 0.2500 0.2500  2 Pt 2.01

- Magnetization: 0.0 μB/f.u.
- SG: Fddd


#S
A plane-wave DFT calculation with GGA-PBE was carried out for crystalline PtF at its relaxed geometry.

Cell: 3.3405 6.4587 8.4356 Å, 90.00 90.00 90.00°
Last column: nearest neighbours and their distance in Å.
Positions (direct):
Pt: 0.0000 0.6246 0.8112  2 F 2.15
Pt: 0.5000 0.3754 0.6888  2 F 2.15
Pt: 0.5000 0.3754 0.3112  2 F 2.15
Pt: 0.0000 0.6246 0.1888  2 F 2.15
Pt: 0.0000 0.6250 0.5000  2 F 2.11
Pt: 0.5000 0.3750 0.0000  2 F 2.11
F: 0.0000 0.1691 0.6557  2 Pt 2.15
F: 0.5000 0.8309 0.8443  2 Pt 2.15
F: 0.5000 0.8309 0.1557  2 Pt 2.15
F: 0.0000 0.1691 0.3443  2 Pt 2.15
F: 0.0000 0.1748 0.0000  2 Pt 2.11
F: 0.5000 0.8252 0.5000  2 Pt 2.11

- Magnetization: 0.0 μB/f.u.
- SG: Pmmn


Verdict on stability: #Q comes out on top.